No. 1
Material: LiHPdAu2
Method: DFT, PBE
State: optimized geometry

```
LiHPdAu2
1.0
4.023 0.000 0.000
0.000 4.023 0.000
0.000 0.000 4.158
Li H Pd Au
1 1 1 2
Direct
0.000 0.000 0.000
0.000 0.000 0.500
0.500 0.500 0.000
0.000 0.500 0.500
0.500 0.000 0.500
```

Calculated values
Size of the total moment: 0.00 μB per formula unit
Distance to the lowest polymorph of the same formula: 48 meV/atom

No. 2
Material: LiHPtAu2
Method: DFT, PBE
State: optimized geometry

```
LiHPtAu2
1.0
4.316 0.000 0.000
0.000 4.316 0.000
0.000 0.000 3.706
Li H Pt Au
1 1 1 2
Direct
0.000 0.000 0.000
0.500 0.500 0.500
0.500 0.500 0.000
0.000 0.500 0.500
0.500 0.000 0.500
```

Calculated values
Size of the total moment: 0.00 μB per formula unit
Distance to the lowest polymorph of the same formula: 0 meV/atom

No. 3
Material: LiHPtAu2
Method: DFT, PBE
State: optimized geometry

```
LiHPtAu2
1.0
4.040 0.000 0.000
0.000 4.040 0.000
0.000 0.000 4.100
Li H Pt Au
1 1 1 2
Direct
0.000 0.000 0.000
0.000 0.000 0.500
0.500 0.500 0.000
0.000 0.500 0.500
0.500 0.000 0.500
```

Calculated values
Size of the total moment: 0.00 μB per formula unit
Distance to the lowest polymorph of the same formula: 77 meV/atom

The records above yield energy values of -3.565 -3.761 -3.684 eV/atom, respectively.